1.
Y2CdF GGA-PBE relaxed; formation energy without anion corrections = -83 kJ/mol of atoms; E_tot = -19.14 eV per cell; space group = R-3m, No. 166
1.0
1.695 0.979 9.900
-1.695 0.979 9.900
0.000 -1.957 9.900
Y Cd F
2 1 1
direct
0.107 0.107 0.107 Y
0.893 0.893 0.893 Y
0.000 0.000 0.000 Cd
0.500 0.500 0.500 F

***

2.
BaY2Tl GGA-PBE relaxed; E_tot = -17.04 eV per cell; space group = P2/m, No. 10; calculated formation energy = 0.045 eV per atom
1.0
5.739 0.000 0.000
0.000 3.982 0.000
-0.169 0.000 5.964
Ba Y Tl
1 2 1
direct
0.000 0.000 0.000 Ba
0.500 0.000 0.500 Y
0.500 0.500 0.000 Y
0.000 0.500 0.500 Tl

***

3.
NaV3Hg GGA-PBE relaxed; E_tot = -18.70 eV per cell; space group = Pm-3m, No. 221; calculated formation energy = 2.055 eV per atom
1.0
4.509 0.000 0.000
0.000 4.509 0.000
0.000 0.000 4.509
Na V Hg
1 3 1
direct
0.000 0.000 0.000 Na
0.000 0.000 0.500 V
0.000 0.500 0.000 V
0.500 0.000 0.000 V
0.500 0.500 0.500 Hg

***

4.
Rb10Au4O3 GGA-PBE relaxed; formation energy without anion corrections = -62 kJ/mol of atoms; E_tot = -48.57 eV per cell; space group = I4/mmm, No. 139
1.0
-2.804 2.804 19.999
2.804 -2.804 19.999
2.804 2.804 -19.999
Rb Au O
10 4 3
direct
0.000 0.500 0.500 Rb
0.070 0.070 0.000 Rb
0.140 0.640 0.500 Rb
0.209 0.209 0.000 Rb
0.360 0.860 0.500 Rb
0.500 0.000 0.500 Rb
0.640 0.140 0.500 Rb
0.791 0.791 0.000 Rb
0.860 0.360 0.500 Rb
0.930 0.930 0.000 Rb
0.299 0.299 0.000 Au
0.431 0.431 0.000 Au
0.569 0.569 0.000 Au
0.701 0.701 0.000 Au
0.000 0.000 0.000 O
0.142 0.142 0.000 O
0.858 0.858 0.000 O

***

5.
Tb2Pm2SmHo4 GGA-PBE relaxed; E_tot = -41.82 eV per cell; space group = C2/m, No. 12; calculated formation energy = -0.003 eV per atom
1.0
9.350 -1.801 0.000
9.350 1.801 0.000
-4.155 0.000 8.622
Tb Pm Sm Ho
2 2 1 4
direct
0.147 0.147 0.163 Tb
0.853 0.853 0.837 Tb
0.334 0.334 0.500 Pm
0.666 0.666 0.500 Pm
0.000 0.000 0.500 Sm
0.186 0.186 0.836 Ho
0.481 0.481 0.164 Ho
0.519 0.519 0.836 Ho
0.814 0.814 0.164 Ho

***

6.
TbNdFe GGA-PBE relaxed; E_tot = -17.46 eV per cell; space group = I4mm, No. 107; calculated formation energy = 0.135 eV per atom
1.0
-1.722 1.722 6.504
1.722 -1.722 6.504
1.722 1.722 -6.504
Tb Nd Fe
1 1 1
direct
0.000 0.000 0.000 Tb
0.254 0.254 0.000 Nd
0.622 0.622 0.000 Fe

***

7.
Sm2DyCd2 GGA-PBE relaxed; E_tot = -16.74 eV per cell; space group = Immm, No. 71; calculated formation energy = -0.175 eV per atom
1.0
-2.514 3.492 4.146
2.514 -3.492 4.146
2.514 3.492 -4.146
Sm Dy Cd
2 1 2
direct
0.197 0.197 0.000 Sm
0.803 0.803 0.000 Sm
0.500 0.000 0.500 Dy
0.210 0.500 0.710 Cd
0.790 0.500 0.290 Cd

***

8.
In2CoRh GGA-PBE relaxed; E_tot = -37.30 eV per cell; space group = I-42d, No. 122; calculated formation energy = 0.321 eV per atom
1.0
-3.557 3.557 2.885
3.557 -3.557 2.885
3.557 3.557 -2.885
In Co Rh
4 2 2
direct
0.113 0.625 0.988 In
0.375 0.363 0.488 In
0.637 0.125 0.012 In
0.875 0.887 0.512 In
0.000 0.000 0.000 Co
0.750 0.250 0.500 Co
0.250 0.750 0.500 Rh
0.500 0.500 0.000 Rh

***

Number 1: V 24.63 Å³ per atom, DOS at the Fermi energy 4.3 states/eV/cell. Number 2: V 34.08 Å³ per atom, DOS at the Fermi energy 5.6 states/eV/cell. Number 3: V 18.33 Å³ per atom, DOS at the Fermi energy 6.1 states/eV/cell. Number 4: V 36.99 Å³ per atom, DOS at the Fermi energy 2.0 states/eV/cell. Number 5: V 32.27 Å³ per atom, DOS at the Fermi energy 12.0 states/eV/cell. Number 6: V 25.73 Å³ per atom, DOS at the Fermi energy 3.9 states/eV/cell. Number 7: V 29.11 Å³ per atom, DOS at the Fermi energy 5.9 states/eV/cell. Number 8: V 18.26 Å³ per atom, DOS at the Fermi energy 11.1 states/eV/cell.